# 1
# HgBiS | Alexandria via LeMat-Bulk | PBE | optimized geometry
data_HgBiS
_symmetry_space_group_name_H-M 'P 1 21/c 1'
_symmetry_Int_Tables_number 14
_symmetry_space_group_name_Hall '-P 2ybc'
_cell_length_a 7.987
_cell_length_b 7.324
_cell_length_c 6.489
_cell_angle_alpha 90.00
_cell_angle_beta 108.28
_cell_angle_gamma 90.00
loop_
_atom_site_label
_atom_site_type_symbol
_atom_site_fract_x
_atom_site_fract_y
_atom_site_fract_z
_atom_site_occupancy
Hg1 Hg 0.199 0.206 0.373 1
Bi1 Bi 0.375 0.666 0.092 1
S1 S 0.156 0.601 0.330 1
# VASP energy: -32.87 eV/cell
# energy relative to the elements, uncorrected: 0.03 eV per atom
# distance to the lowest polymorph of the same formula: 63.9 meV per atom

---

# 2
# CsLiScSe2 | Alexandria via LeMat-Bulk | PBE | optimized geometry
data_CsLiScSe2
_symmetry_space_group_name_H-M 'C m m e'
_symmetry_Int_Tables_number 67
_symmetry_space_group_name_Hall '-C 2a 2'
_cell_length_a 6.472
_cell_length_b 15.164
_cell_length_c 6.450
_cell_angle_alpha 90.00
_cell_angle_beta 90.00
_cell_angle_gamma 90.00
loop_
_atom_site_label
_atom_site_type_symbol
_atom_site_fract_x
_atom_site_fract_y
_atom_site_fract_z
_atom_site_occupancy
Cs1 Cs 0.000 0.250 0.237 1
Li1 Li 0.000 0.000 0.000 1
Sc1 Sc 0.250 0.000 0.500 1
Se1 Se 0.000 0.105 0.718 1
# VASP energy: -88.60 eV/cell
# energy relative to the elements, uncorrected: -1.22 eV per atom

---

# 3
# H2SeBr | Alexandria via LeMat-Bulk | PBE | optimized geometry
data_H2SeBr
_symmetry_space_group_name_H-M 'P 1'
_symmetry_Int_Tables_number 1
_symmetry_space_group_name_Hall 'P 1'
_cell_length_a 5.406
_cell_length_b 5.915
_cell_length_c 7.355
_cell_angle_alpha 93.07
_cell_angle_beta 111.14
_cell_angle_gamma 90.12
loop_
_atom_site_label
_atom_site_type_symbol
_atom_site_fract_x
_atom_site_fract_y
_atom_site_fract_z
_atom_site_occupancy
H1 H 0.000 0.000 0.000 1
H2 H 0.003 0.606 0.118 1
H3 H 0.144 0.798 0.605 1
H4 H 0.209 0.241 0.385 1
Se1 Se 0.197 0.820 0.009 1
Se2 Se 0.985 0.655 0.686 1
Br1 Br 0.429 0.091 0.477 1
Br2 Br 0.844 0.439 0.197 1
# VASP energy: -24.67 eV/cell
# distance to the lowest polymorph of the same formula: 0.0 meV per atom

---

# 4
# Mo5C3 | Alexandria via LeMat-Bulk | PBE | optimized geometry
data_Mo5C3
_symmetry_space_group_name_H-M 'I 4 c m'
_symmetry_Int_Tables_number 108
_symmetry_space_group_name_Hall 'I 4 -2c'
_cell_length_a 8.543
_cell_length_b 8.543
_cell_length_c 5.189
_cell_angle_alpha 90.00
_cell_angle_beta 90.00
_cell_angle_gamma 90.00
loop_
_atom_site_label
_atom_site_type_symbol
_atom_site_fract_x
_atom_site_fract_y
_atom_site_fract_z
_atom_site_occupancy
Mo1 Mo 0.000 0.500 0.000 1
Mo2 Mo 0.068 0.211 0.274 1
C1 C 0.000 0.000 0.022 1
C2 C 0.178 0.322 0.908 1
# VASP energy: -318.26 eV/cell
# formation energy: 0.28 eV per atom
# distance to the lowest polymorph of the same formula: 0.0 meV per atom